Model one:
## PmPr3 (PBE)

Data for a relaxed PmPr3 crystal.

```
data_PmPr3
_chemical_formula_sum 'Pm1 Pr3'
_cell_length_a 3.729
_cell_length_b 5.992
_cell_length_c 6.474
_cell_angle_alpha 90.00
_cell_angle_beta 90.00
_cell_angle_gamma 90.00
_symmetry_space_group_name_H-M 'P 1'
_symmetry_Int_Tables_number 1
loop_
_symmetry_equiv_pos_as_xyz
'x,y,z'
loop_
_atom_site_label
_atom_site_type_symbol
_atom_site_fract_x
_atom_site_fract_y
_atom_site_fract_z
Pr1 Pr 0.000 0.500 0.331
Pr2 Pr 0.500 0.000 0.502
Pr3 Pr 0.500 0.500 0.831
Pm1 Pm 0.000 0.000 0.002
```

Model two:
## PmPr3 (PBE)

Data for a relaxed PmPr3 crystal.

```
data_PmPr3
_chemical_formula_sum 'Pm1 Pr3'
_cell_length_a 5.873
_cell_length_b 5.873
_cell_length_c 5.873
_cell_angle_alpha 60.00
_cell_angle_beta 60.00
_cell_angle_gamma 60.00
_symmetry_space_group_name_H-M 'P 1'
_symmetry_Int_Tables_number 1
loop_
_symmetry_equiv_pos_as_xyz
'x,y,z'
loop_
_atom_site_label
_atom_site_type_symbol
_atom_site_fract_x
_atom_site_fract_y
_atom_site_fract_z
Pr1 Pr 0.000 0.000 0.000
Pr2 Pr 0.750 0.750 0.750
Pr3 Pr 0.250 0.250 0.250
Pm1 Pm 0.500 0.500 0.500
```

Stability ranking, top and bottom: model one is the most stable and model two is the least stable.